1.
DFT (meta-GGA SCAN) results for a crystal of MnMoIr2 relaxed with PBEsol.

Summary:
V = 54.6 Å³ per cell
SG = No. 65
ΔE_f = -0.351 eV per atom

Cell: 4.627 4.627 2.698 Å, 90.00 90.00 109.00°
Fractional coordinates of all 4 atoms:
1 Mn 0.000 0.000 0.000
2 Mo 0.500 0.500 0.000
3 Ir 0.000 0.500 0.500
4 Ir 0.500 0.000 0.500

=====

2.
DFT (meta-GGA SCAN) results for a crystal of KBeAg2 relaxed with PBEsol.

Summary:
V = 95.9 Å³ per cell
SG = No. 166
ΔE_f = 0.183 eV per atom

Cell: 6.472 6.472 6.472 Å, 38.84 38.84 38.84°
Fractional coordinates of all 4 atoms:
1 K 0.000 0.000 0.000
2 Be 0.500 0.500 0.500
3 Ag 0.191 0.191 0.191
4 Ag 0.809 0.809 0.809

=====

3.
DFT (meta-GGA SCAN) results for a crystal of HfSc2Ir2 relaxed with PBEsol.

Summary:
V = 186.9 Å³ per cell
SG = No. 127
ΔE_f = -0.958 eV per atom

Cell: 6.892 6.892 3.934 Å, 90.00 90.00 90.00°
Fractional coordinates of all 10 atoms:
1 Hf 0.000 0.000 0.000
2 Hf 0.500 0.500 0.000
3 Sc 0.168 0.332 0.500
4 Sc 0.332 0.832 0.500
5 Sc 0.668 0.168 0.500
6 Sc 0.832 0.668 0.500
7 Ir 0.139 0.639 0.000
8 Ir 0.361 0.139 0.000
9 Ir 0.639 0.861 0.000
10 Ir 0.861 0.361 0.000

=====

4.
DFT (meta-GGA SCAN) results for a crystal of ScHg relaxed with PBEsol.

Summary:
V = 47.0 Å³ per cell
SG = No. 225
ΔE_f = -0.355 eV per atom

Cell: 4.050 4.050 4.050 Å, 60.00 60.00 60.00°
Fractional coordinates of all 2 atoms:
1 Sc 0.000 0.000 0.000
2 Hg 0.500 0.500 0.500

=====

5.
DFT (meta-GGA SCAN) results for a crystal of BaIO2F relaxed with PBEsol.

Summary:
V = 95.4 Å³ per cell
uncorrected formation energy = -1.550 eV per atom
SG = No. 123

Cell: 4.177 4.177 5.467 Å, 90.00 90.00 90.00°
Fractional coordinates of all 5 atoms:
1 Ba 0.000 0.000 0.000
2 I 0.500 0.500 0.500
3 O 0.000 0.500 0.500
4 O 0.500 0.000 0.500
5 F 0.500 0.500 0.000

=====

6.
DFT (meta-GGA SCAN) results for a crystal of KTl2Cd relaxed with PBEsol.

Summary:
V = 118.8 Å³ per cell
SG = No. 71
ΔE_f = -0.079 eV per atom

Cell: 6.511 6.511 6.511 Å, 147.52 125.87 64.56°
Fractional coordinates of all 4 atoms:
1 K 0.000 0.000 0.000
2 Tl 0.277 0.777 0.500
3 Tl 0.723 0.223 0.500
4 Cd 0.500 0.500 0.000

=====

Asked for total energy across the records above, the calculation gives -49.19, -18.67, -47.63, -41.56, -20.01, -45.94 eV per atom in order.